Entry 1:
MnAsSe2 after structural relaxation, computed with GGA-PBE.

abc: 7.320 7.320 7.320
angles: 152.20 151.34 40.35
Each line ends with the local moment (μB).
Fractional coordinates of all 4 atoms:
Se 0.959 0.959 0.000  0.01
Se 0.230 0.730 0.500  -0.02
As 0.519 0.519 0.000  -0.03
Mn 0.792 0.292 0.500  4.06

Properties
SG	No. 44
spin magnetization	4.3	μB per cell
V	87.6	Å³/cell
ΔE_f (raw)	0.0328	eV/atom

=====

Entry 2:
Ti8TlN2 after structural relaxation, computed with GGA-PBE.

abc: 4.618 7.550 7.550
angles: 41.17 72.20 72.20
Fractional coordinates of all 11 atoms:
N 0.730 0.770 0.770
N 0.270 0.230 0.230
Tl 0.000 0.000 0.000
Ti 0.603 0.659 0.136
Ti 0.603 0.136 0.659
Ti 0.230 0.771 0.771
Ti 0.880 0.620 0.620
Ti 0.397 0.341 0.864
Ti 0.770 0.229 0.229
Ti 0.397 0.864 0.341
Ti 0.120 0.380 0.380

Properties
SG	No. 71
spin magnetization	0.0	μB per cell
V	163.8	Å³/cell
ΔE_f (raw)	-0.3381	eV/atom

=====

Entry 3:
Ac2Zn2Pd3 after structural relaxation, computed with GGA-PBE.

abc: 4.123 5.960 7.305
angles: 110.21 90.00 110.24
Fractional coordinates of all 7 atoms:
Ac 0.125 0.251 0.760
Ac 0.875 0.749 0.240
Pd 0.500 0.000 0.000
Pd 0.628 0.256 0.435
Pd 0.372 0.744 0.565
Zn 0.848 0.696 0.770
Zn 0.152 0.304 0.230

Properties
SG	No. 12
spin magnetization	0.0	μB per cell
V	156.6	Å³/cell
ΔH_f (0 K)	-0.61	eV/atom

=====

Entry 4:
AlIr2Pb after structural relaxation, computed with GGA-PBE.

abc: 4.843 3.082 4.607
angles: 89.97 90.00 90.00
Fractional coordinates of all 4 atoms:
Al 0.500 0.875 0.761
Pb 0.000 0.375 0.514
Ir 0.500 0.375 0.215
Ir 0.000 0.875 0.010

Properties
SG	No. 25
spin magnetization	0.0	μB per cell
V	68.8	Å³/cell
ΔH_f (0 K)	0.11	eV/atom

=====

Entry 5:
Tb2Ce2Os3 after structural relaxation, computed with GGA-PBE.

abc: 4.771 4.757 8.583
angles: 106.21 90.03 120.06
Fractional coordinates of all 7 atoms:
Os 0.745 0.491 0.238
Os 0.000 0.000 0.000
Os 0.255 0.509 0.762
Ce 0.621 0.243 0.864
Ce 0.379 0.757 0.136
Tb 0.127 0.254 0.382
Tb 0.873 0.746 0.618

Properties
SG	No. 12
spin magnetization	0.0	μB per cell
V	159.6	Å³/cell
ΔH_f (0 K)	-0.17	eV/atom

=====

Entry 6:
K3YNb2O8 after structural relaxation, computed with GGA-PBE.

abc: 6.207 6.207 7.758
angles: 90.00 90.00 120.00
Fractional coordinates of all 14 atoms:
O 0.333 0.667 0.998
O 0.338 0.169 0.677
O 0.169 0.831 0.323
O 0.169 0.338 0.323
O 0.831 0.662 0.677
O 0.667 0.333 0.002
O 0.662 0.831 0.323
O 0.831 0.169 0.677
Nb 0.667 0.333 0.767
Nb 0.333 0.667 0.233
K 0.333 0.667 0.674
K 0.000 0.000 0.000
K 0.667 0.333 0.326
Y 0.000 0.000 0.500

Properties
SG	No. 164
spin magnetization	0.0	μB per cell
V	258.9	Å³/cell
ΔE_f (raw)	-2.5716	eV/atom

=====

Entry 7:
LaHo2CrN4 after structural relaxation, computed with GGA-PBE.

abc: 3.423 6.079 11.604
angles: 90.00 90.00 106.35
Each line ends with the local moment (μB).
Fractional coordinates of all 16 atoms:
N 0.583 0.167 0.250  -0.05
N 0.417 0.833 0.750  -0.05
N 0.000 0.000 0.000  0.02
N 0.737 0.473 0.875  0.00
N 0.737 0.473 0.625  0.00
N 0.263 0.527 0.375  0.00
N 0.000 0.000 0.500  0.02
N 0.263 0.527 0.125  0.00
Cr 0.830 0.661 0.750  1.50
Cr 0.170 0.339 0.250  1.50
Ho 0.631 0.261 0.457  0.04
Ho 0.631 0.261 0.043  0.04
Ho 0.369 0.739 0.957  0.04
Ho 0.369 0.739 0.543  0.04
La 0.908 0.816 0.250  0.05
La 0.092 0.184 0.750  0.05

Properties
SG	No. 63
spin magnetization	3.6	μB per cell
V	231.7	Å³/cell
ΔE_f (raw)	-1.2941	eV/atom

=====

Entry 8:
AuCl3 after structural relaxation, computed with GGA-PBE.

abc: 7.979 7.979 6.772
angles: 90.00 90.00 120.00
Fractional coordinates of all 16 atoms:
Cl 0.000 0.500 0.000
Cl 0.264 0.132 0.250
Cl 0.500 0.000 0.500
Cl 0.132 0.264 0.750
Cl 0.868 0.736 0.250
Cl 0.000 0.500 0.500
Cl 0.132 0.868 0.750
Cl 0.500 0.000 0.000
Cl 0.736 0.868 0.750
Cl 0.500 0.500 0.000
Cl 0.868 0.132 0.250
Cl 0.500 0.500 0.500
Au 0.333 0.667 0.250
Au 0.000 0.000 0.000
Au 0.667 0.333 0.750
Au 0.000 0.000 0.500

Properties
SG	No. 194
spin magnetization	0.0	μB per cell
V	373.4	Å³/cell
ΔE_f (raw)	0.2470	eV/atom

=====

Entry 9:
NiHgBi2 after structural relaxation, computed with GGA-PBE.

abc: 4.014 4.014 8.163
angles: 75.77 75.77 60.00
Fractional coordinates of all 4 atoms:
Bi 0.056 0.056 0.833
Bi 0.277 0.277 0.168
Ni 0.667 0.667 0.999
Hg 0.500 0.500 0.501

Properties
SG	No. 160
spin magnetization	0.0	μB per cell
V	109.2	Å³/cell
ΔH_f (0 K)	0.03	eV/atom

=====

Entry 10:
HoNi4Pb after structural relaxation, computed with GGA-PBE.

abc: 5.038 5.038 5.038
angles: 60.00 60.00 60.00
Fractional coordinates of all 6 atoms:
Ni 0.625 0.625 0.625
Ni 0.625 0.125 0.625
Ni 0.125 0.625 0.625
Ni 0.625 0.625 0.125
Ho 0.250 0.250 0.250
Pb 0.000 0.000 0.000

Properties
SG	No. 216
spin magnetization	0.0	μB per cell
V	90.4	Å³/cell
ΔH_f (0 K)	-0.26	eV/atom